No. 1
Below is a relaxed ZnCuTe2 crystal, with properties calculated at the PBE level.

Unit cell a=3.0781 b=3.0781 c=10.1186 alpha=90.00 beta=90.00 gamma=96.72
Sites, in units of the cell vectors:
Zn1 0.0000 0.0000 0.0000
Cu1 0.5000 0.5000 0.1445
Te1 0.0000 0.0000 0.3522
Te2 0.5000 0.5000 0.7313

Energy above the most stable polymorph in this dataset = 435 meV/atom
Magnetization = 0.000 μB/atom
E_form (uncorrected) = 0.210 eV/atom

No. 2
Below is a relaxed Mg3In12Bi5 crystal, with properties calculated at the PBE level.

Unit cell a=15.1857 b=15.1857 c=15.1857 alpha=109.47 beta=109.47 gamma=109.47
Sites, in units of the cell vectors:
Mg1 0.1250 0.2500 0.3750
Mg2 0.1250 0.3750 0.7500
Mg3 0.2500 0.3750 0.1250
Mg4 0.2500 0.8750 0.6250
Mg5 0.3750 0.1250 0.2500
Mg6 0.3750 0.7500 0.1250
Mg7 0.6250 0.2500 0.8750
Mg8 0.6250 0.8750 0.7500
Mg9 0.7500 0.1250 0.3750
Mg10 0.7500 0.6250 0.8750
Mg11 0.8750 0.6250 0.2500
Mg12 0.8750 0.7500 0.6250
In1 0.0616 0.6317 0.3906
In2 0.0616 0.9300 0.6710
In3 0.0700 0.2411 0.1317
In4 0.0700 0.3290 0.9384
In5 0.1094 0.7411 0.6710
In6 0.1094 0.8683 0.4384
In7 0.1317 0.0700 0.2411
In8 0.1317 0.5616 0.8906
In9 0.1710 0.2411 0.6094
In10 0.1710 0.4300 0.5616
In11 0.2411 0.1317 0.0700
In12 0.2411 0.6094 0.1710
In13 0.2589 0.3290 0.8906
In14 0.2589 0.4300 0.3683
In15 0.3290 0.8906 0.2589
In16 0.3290 0.9384 0.0700
In17 0.3683 0.2589 0.4300
In18 0.3683 0.6094 0.9384
In19 0.3906 0.0616 0.6317
In20 0.3906 0.8290 0.7589
In21 0.4300 0.3683 0.2589
In22 0.4300 0.5616 0.1710
In23 0.4384 0.1094 0.8683
In24 0.4384 0.8290 0.5700
In25 0.5616 0.1710 0.4300
In26 0.5616 0.8906 0.1317
In27 0.5700 0.4384 0.8290
In28 0.5700 0.6317 0.7411
In29 0.6094 0.1710 0.2411
In30 0.6094 0.9384 0.3683
In31 0.6317 0.3906 0.0616
In32 0.6317 0.7411 0.5700
In33 0.6710 0.0616 0.9300
In34 0.6710 0.1094 0.7411
In35 0.7411 0.5700 0.6317
In36 0.7411 0.6710 0.1094
In37 0.7589 0.3906 0.8290
In38 0.7589 0.8683 0.9300
In39 0.8290 0.5700 0.4384
In40 0.8290 0.7589 0.3906
In41 0.8683 0.4384 0.1094
In42 0.8683 0.9300 0.7589
In43 0.8906 0.1317 0.5616
In44 0.8906 0.2589 0.3290
In45 0.9300 0.6710 0.0616
In46 0.9300 0.7589 0.8683
In47 0.9384 0.0700 0.3290
In48 0.9384 0.3683 0.6094
Bi1 0.0000 0.0000 0.0000
Bi2 0.0000 0.0000 0.5000
Bi3 0.0000 0.5000 0.0000
Bi4 0.0000 0.5000 0.5000
Bi5 0.1250 0.7500 0.8750
Bi6 0.1250 0.8750 0.2500
Bi7 0.2500 0.1250 0.8750
Bi8 0.2500 0.6250 0.3750
Bi9 0.3750 0.2500 0.6250
Bi10 0.3750 0.6250 0.7500
Bi11 0.5000 0.0000 0.0000
Bi12 0.5000 0.0000 0.5000
Bi13 0.5000 0.5000 0.0000
Bi14 0.5000 0.5000 0.5000
Bi15 0.6250 0.3750 0.2500
Bi16 0.6250 0.7500 0.3750
Bi17 0.7500 0.3750 0.6250
Bi18 0.7500 0.8750 0.1250
Bi19 0.8750 0.1250 0.7500
Bi20 0.8750 0.2500 0.1250

Magnetization = 0.000 μB/atom
Energy of formation = 0.119 eV/atom

No. 3
Below is a relaxed ThGePdRh crystal, with properties calculated at the PBE level.

Unit cell a=4.0168 b=4.0168 c=9.8885 alpha=90.00 beta=90.00 gamma=90.00
Sites, in units of the cell vectors:
Th1 0.2500 0.2500 0.2040
Th2 0.7500 0.7500 0.7960
Ge1 0.2500 0.2500 0.6537
Ge2 0.7500 0.7500 0.3463
Pd1 0.2500 0.7500 0.5000
Pd2 0.7500 0.2500 0.5000
Rh1 0.2500 0.2500 0.9070
Rh2 0.7500 0.7500 0.0930

Magnetization = 0.000 μB/atom
Energy of formation = -0.750 eV/atom